[1]
Compound: BeIr2Pb
Source: the Alexandria database
Functional: GGA-PBE
Structure: relaxed

Cell: 4.329 3.030 5.123 Å, 88.89 90.00 90.00°
Fractional positions:
1 Be 0.500 0.878 0.841
2 Pb 0.000 0.383 0.510
3 Ir 0.500 0.366 0.171
4 Ir 0.000 0.872 0.978

Space-group type   Pm

***

[2]
Compound: Cs3MoBr6
Source: the Alexandria database
Functional: GGA-PBE
Structure: relaxed

Cell: 8.291 8.610 14.374 Å, 90.00 55.99 90.00°
Fractional positions:
1 Mo 0.000 0.000 0.000
2 Br 0.787 0.834 0.954
3 Cs 0.776 0.068 0.745
4 Br 0.787 0.666 0.454
5 Br 0.702 0.479 0.710
6 Cs 0.224 0.568 0.755
7 Br 0.111 0.757 0.549
8 Cs 0.776 0.432 0.245
9 Br 0.702 0.021 0.210
10 Br 0.111 0.743 0.049
11 Br 0.298 0.979 0.790
12 Br 0.889 0.257 0.951
13 Cs 0.224 0.932 0.255
14 Cs 0.500 0.000 0.500
15 Cs 0.500 0.500 0.000
16 Br 0.213 0.166 0.046
17 Br 0.298 0.521 0.290
18 Mo 0.000 0.500 0.500
19 Br 0.213 0.334 0.546
20 Br 0.889 0.243 0.451

Space-group type   P2_1/c
Energy relative to the elements, uncorrected   -1298 meV/atom

***

The following energy relative to the lowest polymorph listed for this composition values (in eV per atom) correspond, in order, to the records above: 0.140, 0.000.